Record 1
Nd3Cd4Ag4 | Alexandria via LeMat-Bulk | PBE | relaxed; energy above the most stable polymorph in this dataset = 0.0000 eV per atom; energy relative to the elements = -2.82 eV per formula unit
1.0
-2.876 1.354 1.452
-2.255 -4.299 -0.478
2.488 -5.692 14.468
Ag Cd Nd
4 4 3
Cartesian
-0.822 -3.456 10.018 Ag
-2.098 -1.861 1.774 Ag
-0.546 -6.776 13.667 Ag
-1.821 -5.182 5.424 Ag
0.105 -4.232 12.589 Cd
-2.472 -5.167 8.330 Cd
-2.749 -4.405 2.853 Cd
-0.171 -3.470 7.113 Cd
-0.061 -6.661 10.305 Nd
2.488 -5.692 14.468 Nd
-2.583 -1.976 5.137 Nd

=====

Record 2
Li2TaH | Alexandria via LeMat-Bulk | PBE | relaxed; energy above the most stable polymorph in this dataset = 0.0000 eV per atom
1.0
5.155 0.000 0.000
0.000 5.155 0.000
2.578 2.578 3.640
Li H Ta
4 2 2
Cartesian
2.574 3.866 0.910 Li
3.866 5.152 2.730 Li
2.581 1.289 0.910 Li
6.444 5.158 2.730 Li
2.578 5.155 1.820 H
2.578 2.578 0.000 H
0.000 0.000 0.000 Ta
5.155 2.578 1.820 Ta

=====

Record 3
PaCoRe2Si2 | Alexandria via LeMat-Bulk | PBE | relaxed; raw formation energy = 0.05 eV per atom
1.0
-2.156 -2.639 2.835
-2.010 -2.011 -3.401
3.818 -3.390 -0.252
Co Si Pa Re
1 2 1 2
Cartesian
0.000 0.000 0.000 Co
-1.005 -1.005 -1.701 Si
-1.078 -1.320 1.417 Si
1.909 -1.695 -0.126 Pa
-1.075 -3.220 -0.350 Re
0.726 -4.820 -0.469 Re

=====

| no. | calculated total energy (eV per cell) | total moment (μB/atom) |
| --- | --- | --- |
| 1 | -32.2 | 0.00 |
| 2 | -33.3 | 0.32 |
| 3 | -52.1 | 0.00 |